1.
TaZnCoAg after structural relaxation, computed with PBE.

- Electronic total energy: -5.3708 eV per atom
- Relative energy among the computed polymorphs: 0.72 eV per formula unit
- Magnetic moment: 0.011 μB/atom
- V: 238.7 Å³/cell
- DFT formation energy: 0.3912 eV per atom

The structure in CIF format:
```
data_TaZnCoAg
_chemical_formula_sum 'Ta4 Zn4 Co4 Ag4'
_cell_length_a 6.204
_cell_length_b 6.204
_cell_length_c 6.204
_cell_angle_alpha 90.00
_cell_angle_beta 90.00
_cell_angle_gamma 90.00
_space_group_name_H-M_alt 'F -4 3 m'
_space_group_IT_number 216
_space_group_name_Hall 'F -4 2 3'
loop_
_atom_site_label
_atom_site_type_symbol
_atom_site_fract_x
_atom_site_fract_y
_atom_site_fract_z
Ta1 Ta 0.000 0.000 0.000
Zn1 Zn 0.250 0.250 0.250
Co1 Co 0.000 0.000 0.500
Ag1 Ag 0.250 0.250 0.750
```

***

2.
TaZnCoAg after structural relaxation, computed with PBE.

- Electronic total energy: -5.5518 eV per atom
- Relative energy among the computed polymorphs: 0.00 eV per formula unit
- Magnetic moment: 0.196 μB/atom
- V: 240.9 Å³/cell
- DFT formation energy: 0.2102 eV per atom

The structure in CIF format:
```
data_TaZnCoAg
_chemical_formula_sum 'Ta4 Zn4 Co4 Ag4'
_cell_length_a 6.222
_cell_length_b 6.222
_cell_length_c 6.222
_cell_angle_alpha 90.00
_cell_angle_beta 90.00
_cell_angle_gamma 90.00
_space_group_name_H-M_alt 'F -4 3 m'
_space_group_IT_number 216
_space_group_name_Hall 'F -4 2 3'
loop_
_atom_site_label
_atom_site_type_symbol
_atom_site_fract_x
_atom_site_fract_y
_atom_site_fract_z
Ta1 Ta 0.000 0.000 0.000
Zn1 Zn 0.000 0.000 0.500
Co1 Co 0.250 0.250 0.750
Ag1 Ag 0.250 0.250 0.250
```

***

| no. | calculated density (g/cm3) |
| --- | --- |
| 1 | 11.5 |
| 2 | 11.4 |